SmTi2Fe9 | PBE-GGA | relaxed

a = 4.9087 Å, b = 4.9087 Å, c = 23.5472 Å
α = 90.00°, β = 90.00°, γ = 120.00°
With the nearest neighbours (Å) after each atom.
Space group R-3m (No. 166, hexagonal axes)
One atom of each set of equivalent atoms:
Sm 0.0000 0.0000 0.0000  6 Fe 2.83
Ti 0.0000 0.0000 0.1454  12 Fe 2.76-2.88, 3 Ti 3.01
Fe 0.0000 0.0000 0.3331  6 Fe 2.48-2.51
Fe 0.0000 0.0000 0.5000  6 Fe 2.36
Fe 0.0039 0.5019 0.9128  7 Fe 2.36-2.51

The value obtained for the total energy is -8.20 eV per atom. The density of states at the Fermi level comes out at 28.4 states/eV per cell. Its magnetic moment is 1.288 μB per atom.